Density functional theory data (GGA-PBE) for CoCuCl2 after structural relaxation.

Cell lengths 4.709, 3.458, 5.164 Å; angles 90.00, 92.70, 90.00 degrees
Element x y z (fractional)
Co 0.000 0.000 0.000
Cu 0.000 0.000 0.500
Cl 0.234 0.500 0.240
Cl 0.766 0.500 0.760

Results
- Density of states at the Fermi level: 0.514 states/eV per atom
- Raw formation energy: 0.000 eV/atom
- Calculated density: 3.82 g/cm3
- E above lowest polymorph: 134 meV/atom
- Space group: P2/m
- M_tot: 2.00 μB/f.u.